Material: RhPbCl2
Method: DFT, SCAN
State: PBEsol geometry

Calculated values
As for the total DFT energy (no corrections): -125.36 eV/cell. As for the formation energy from raw total energies: 36 meV per atom. The space group is P4/mmm, No. 123.

Lattice parameters (Å, degrees): 4.5208 4.5208 3.8720 90.00 90.00 90.00
Fractional coordinates of all 4 atoms:
1 Rh 0.0000 0.0000 0.0000
2 Pb 0.5000 0.5000 0.0000
3 Cl 0.0000 0.5000 0.5000
4 Cl 0.5000 0.0000 0.5000

Material: RhPbCl2
Method: DFT, SCAN
State: PBEsol geometry

Calculated values
As for the total DFT energy (no corrections): -126.45 eV/cell. As for the formation energy from raw total energies: -236 meV per atom. The space group is P4mm, No. 99.

Lattice parameters (Å, degrees): 3.8014 3.8014 7.1840 90.00 90.00 90.00
Fractional coordinates of all 4 atoms:
1 Rh 0.0000 0.0000 0.0000
2 Pb 0.5000 0.5000 0.0206
3 Cl 0.0000 0.0000 0.6942
4 Cl 0.5000 0.5000 0.3662

Material: Rh2PbCl
Method: DFT, SCAN
State: PBEsol geometry

Calculated values
As for the total DFT energy (no corrections): -149.74 eV/cell. As for the formation energy from raw total energies: 391 meV per atom. The space group is Fm-3m, No. 225.

Lattice parameters (Å, degrees): 4.5581 4.5581 4.5581 60.00 60.00 60.00
Fractional coordinates of all 4 atoms:
1 Rh 0.2500 0.2500 0.2500
2 Rh 0.7500 0.7500 0.7500
3 Pb 0.0000 0.0000 0.0000
4 Cl 0.5000 0.5000 0.5000

Material: SnRhPbCl2
Method: DFT, SCAN
State: PBEsol geometry

Calculated values
As for the total DFT energy (no corrections): -162.55 eV/cell. As for the formation energy from raw total energies: -225 meV per atom. The space group is P4/mmm, No. 123.

Lattice parameters (Å, degrees): 4.6817 4.6817 5.3259 90.00 90.00 90.00
Fractional coordinates of all 5 atoms:
1 Sn 0.0000 0.0000 0.0000
2 Rh 0.0000 0.0000 0.5000
3 Pb 0.5000 0.5000 0.0000
4 Cl 0.0000 0.5000 0.5000
5 Cl 0.5000 0.0000 0.5000

Material: RuPbCl
Method: DFT, SCAN
State: PBEsol geometry

Calculated values
As for the total DFT energy (no corrections): -117.46 eV/cell. As for the formation energy from raw total energies: 376 meV per atom. The space group is Fmm2, No. 42.

Lattice parameters (Å, degrees): 7.8188 7.4700 3.1625 84.33 71.94 23.73
Fractional coordinates of all 3 atoms:
1 Ru 0.0000 0.0000 0.0000
2 Pb 0.3348 0.3348 0.6652
3 Cl 0.6181 0.6181 0.3819

Material: RuPbCl
Method: DFT, SCAN
State: PBEsol geometry

Calculated values
As for the total DFT energy (no corrections): -115.95 eV/cell. As for the formation energy from raw total energies: 880 meV per atom. The space group is F-43m, No. 216.

Lattice parameters (Å, degrees): 4.6869 4.6869 4.6869 60.00 60.00 60.00
Fractional coordinates of all 3 atoms:
1 Ru 0.0000 0.0000 0.0000
2 Pb 0.2500 0.2500 0.2500
3 Cl 0.5000 0.5000 0.5000